(1)
DFT (PBE) results for crystalline TbPm2Er at its relaxed geometry.

The structure in POSCAR format:
```
TbPm2Er
1.0
5.050 0.000 0.000
0.000 5.091 0.000
0.000 0.000 5.091
Pm Tb Er
2 1 1
Cartesian
0.000 0.000 2.545
0.000 2.545 0.000
2.525 2.545 2.545
2.525 0.000 0.000
```

Calculated values
- formation energy (meV/atom) = 19
- ΔE to the lowest computed polymorph (meV/atom) = 6
- space group = P4/mmm, No. 123

(2)
DFT (PBE) results for crystalline Ba2CdSnSe5 at its relaxed geometry.

The structure in POSCAR format:
```
Ba2CdSnSe5
1.0
-0.303 -4.226 -0.469
9.464 0.997 4.285
-5.230 -0.931 11.767
Ba Cd Sn Se
4 2 2 10
Cartesian
2.659 -3.702 12.270
-1.189 -0.916 9.028
0.712 -0.558 4.571
5.855 -3.113 4.903
2.088 -3.212 8.223
4.114 -0.544 2.252
-3.876 -3.135 11.384
5.790 -1.384 8.737
1.470 -1.723 14.584
-1.344 -3.339 11.581
-4.084 -2.840 8.858
1.917 -1.268 10.194
5.605 -3.671 10.095
-0.082 -2.890 6.720
3.931 -1.061 7.024
7.812 -1.356 7.180
2.886 -2.737 3.427
0.342 -0.130 0.954
```

Calculated values
- energy relative to the elements, uncorrected (eV/f.u.) = -10.4
- space group = Cmc2_1, No. 36